Run i
YHoCdNi: relaxed, PBE-GGA.

Properties
**N(E_F)**: 2.4 states/eV/cell
**Density**: 7.8 Mg/m³

```
data_YHoCdNi
_chemical_formula_sum 'Y1 Ho1 Cd1 Ni1'
_cell_length_a 3.452
_cell_length_b 3.452
_cell_length_c 7.610
_cell_angle_alpha 90.00
_cell_angle_beta 90.00
_cell_angle_gamma 90.00
_symmetry_space_group_name_H-M 'P 4 m m'
_symmetry_Int_Tables_number 99
loop_
_symmetry_equiv_pos_as_xyz
'x,y,z'
'-y,x,z'
'-x,-y,z'
'y,-x,z'
'-x,y,z'
'y,x,z'
'x,-y,z'
'-y,-x,z'
loop_
_atom_site_label
_atom_site_type_symbol
_atom_site_fract_x
_atom_site_fract_y
_atom_site_fract_z
Y1 Y 0.000 0.000 0.000
Ho1 Ho 0.000 0.000 0.425
Cd1 Cd 0.500 0.500 0.710
Ni1 Ni 0.500 0.500 0.219
```


Run ii
YHoCdNi: relaxed, PBE-GGA.

Properties
**N(E_F)**: 11.6 states/eV/cell
**Density**: 7.8 Mg/m³

```
data_YHoCdNi
_chemical_formula_sum 'Y4 Ho4 Cd4 Ni4'
_cell_length_a 7.140
_cell_length_b 7.140
_cell_length_c 7.140
_cell_angle_alpha 90.00
_cell_angle_beta 90.00
_cell_angle_gamma 90.00
_symmetry_space_group_name_H-M 'F -4 3 m'
_symmetry_Int_Tables_number 216
_symmetry_space_group_name_Hall 'F -4 2 3'
loop_
_atom_site_label
_atom_site_type_symbol
_atom_site_fract_x
_atom_site_fract_y
_atom_site_fract_z
Y1 Y 0.000 0.000 0.000
Ho1 Ho 0.000 0.000 0.500
Cd1 Cd 0.250 0.250 0.250
Ni1 Ni 0.250 0.250 0.750
```


Name the most stable of them. run i.


Run i
Ho4CdOs: relaxed, PBE-GGA.

Properties
**N(E_F)**: 120.4 states/eV/cell
**Density**: 10.2 Mg/m³

```
data_Ho4CdOs
_chemical_formula_sum 'Ho64 Cd16 Os16'
_cell_length_a 13.570
_cell_length_b 13.570
_cell_length_c 13.570
_cell_angle_alpha 90.00
_cell_angle_beta 90.00
_cell_angle_gamma 90.00
_symmetry_space_group_name_H-M 'F -4 3 m'
_symmetry_Int_Tables_number 216
_symmetry_space_group_name_Hall 'F -4 2 3'
loop_
_atom_site_label
_atom_site_type_symbol
_atom_site_fract_x
_atom_site_fract_y
_atom_site_fract_z
Ho1 Ho 0.000 0.000 0.191
Ho2 Ho 0.059 0.250 0.250
Ho3 Ho 0.154 0.154 0.654
Cd1 Cd 0.080 0.080 0.420
Os1 Os 0.139 0.139 0.861
```


Run ii
Ho4CdOs: relaxed, PBE-GGA.

Properties
**N(E_F)**: 14.2 states/eV/cell
**Density**: 9.2 Mg/m³

```
data_Ho4CdOs
_chemical_formula_sum 'Ho8 Cd2 Os2'
_cell_length_a 8.692
_cell_length_b 4.994
_cell_length_c 8.485
_cell_angle_alpha 90.00
_cell_angle_beta 109.86
_cell_angle_gamma 90.00
_symmetry_space_group_name_H-M 'C 1 2/m 1'
_symmetry_Int_Tables_number 12
loop_
_symmetry_equiv_pos_as_xyz
'x,y,z'
'-x,-y,-z'
'-x,y,-z'
'x,-y,z'
'x+1/2,y+1/2,z'
'-x+1/2,-y+1/2,-z'
'-x+1/2,y+1/2,-z'
'x+1/2,-y+1/2,z'
loop_
_atom_site_label
_atom_site_type_symbol
_atom_site_fract_x
_atom_site_fract_y
_atom_site_fract_z
Ho1 Ho 0.115 0.000 0.343
Ho2 Ho 0.135 0.500 0.907
Cd1 Cd 0.000 0.500 0.500
Os1 Os 0.000 0.000 0.000
```


Name the most stable of them. run i.


Run i
Ho2CdOs: relaxed, PBE-GGA.

Properties
**N(E_F)**: 12.8 states/eV/cell
**Density**: 11.9 Mg/m³

```
data_Ho2CdOs
_chemical_formula_sum 'Ho8 Cd4 Os4'
_cell_length_a 7.059
_cell_length_b 7.059
_cell_length_c 7.059
_cell_angle_alpha 90.00
_cell_angle_beta 90.00
_cell_angle_gamma 90.00
_symmetry_space_group_name_H-M 'F m -3 m'
_symmetry_Int_Tables_number 225
_symmetry_space_group_name_Hall '-F 4 2 3'
loop_
_atom_site_label
_atom_site_type_symbol
_atom_site_fract_x
_atom_site_fract_y
_atom_site_fract_z
Ho1 Ho 0.250 0.250 0.250
Cd1 Cd 0.000 0.000 0.000
Os1 Os 0.000 0.000 0.500
```


Run ii
Ho2CdOs: relaxed, PBE-GGA.

Properties
**N(E_F)**: 8.4 states/eV/cell
**Density**: 8.0 Mg/m³

```
data_Ho2CdOs
_chemical_formula_sum 'Ho6 Cd3 Os3'
_cell_length_a 3.9592
_cell_length_b 3.9592
_cell_length_c 28.9672
_cell_angle_alpha 90.00
_cell_angle_beta 90.00
_cell_angle_gamma 120.00
_symmetry_space_group_name_H-M 'R -3 m'
_symmetry_Int_Tables_number 166
_symmetry_space_group_name_Hall '-R 3 2"'
loop_
_atom_site_label
_atom_site_type_symbol
_atom_site_fract_x
_atom_site_fract_y
_atom_site_fract_z
Ho1 Ho 0.0000 0.0000 0.1156
Cd1 Cd 0.0000 0.0000 0.0000
Os1 Os 0.0000 0.0000 0.5000
```


Run iii
Ho2CdOs: relaxed, PBE-GGA.

Properties
**N(E_F)**: 2.6 states/eV/cell
**Density**: 11.5 Mg/m³

```
data_Ho2CdOs
_chemical_formula_sum 'Ho2 Cd1 Os1'
_cell_length_a 3.434
_cell_length_b 3.434
_cell_length_c 7.749
_cell_angle_alpha 90.00
_cell_angle_beta 90.00
_cell_angle_gamma 90.00
_symmetry_space_group_name_H-M 'P 4/m m m'
_symmetry_Int_Tables_number 123
_symmetry_space_group_name_Hall '-P 4 2'
loop_
_atom_site_label
_atom_site_type_symbol
_atom_site_fract_x
_atom_site_fract_y
_atom_site_fract_z
Ho1 Ho 0.000 0.000 0.213
Cd1 Cd 0.500 0.500 0.500
Os1 Os 0.500 0.500 0.000
```


Name the most stable of them. run iii.


Run i
SmHoCdOs: relaxed, PBE-GGA.

Properties
**N(E_F)**: 2.9 states/eV/cell
**Density**: 10.8 Mg/m³

```
data_SmHoCdOs
_chemical_formula_sum 'Sm1 Ho1 Cd1 Os1'
_cell_length_a 3.471
_cell_length_b 3.471
_cell_length_c 7.869
_cell_angle_alpha 90.00
_cell_angle_beta 90.00
_cell_angle_gamma 90.00
_symmetry_space_group_name_H-M 'P 4 m m'
_symmetry_Int_Tables_number 99
loop_
_symmetry_equiv_pos_as_xyz
'x,y,z'
'-y,x,z'
'-x,-y,z'
'y,-x,z'
'-x,y,z'
'y,x,z'
'x,-y,z'
'-y,-x,z'
loop_
_atom_site_label
_atom_site_type_symbol
_atom_site_fract_x
_atom_site_fract_y
_atom_site_fract_z
Sm1 Sm 0.000 0.000 0.000
Ho1 Ho 0.000 0.000 0.574
Cd1 Cd 0.500 0.500 0.297
Os1 Os 0.500 0.500 0.779
```


Run ii
SmHoCdOs: relaxed, PBE-GGA.

Properties
**N(E_F)**: 12.9 states/eV/cell
**Density**: 11.2 Mg/m³

```
data_SmHoCdOs
_chemical_formula_sum 'Sm4 Ho4 Cd4 Os4'
_cell_length_a 7.151
_cell_length_b 7.151
_cell_length_c 7.151
_cell_angle_alpha 90.00
_cell_angle_beta 90.00
_cell_angle_gamma 90.00
_symmetry_space_group_name_H-M 'F -4 3 m'
_symmetry_Int_Tables_number 216
_symmetry_space_group_name_Hall 'F -4 2 3'
loop_
_atom_site_label
_atom_site_type_symbol
_atom_site_fract_x
_atom_site_fract_y
_atom_site_fract_z
Sm1 Sm 0.000 0.000 0.000
Ho1 Ho 0.000 0.000 0.500
Cd1 Cd 0.250 0.250 0.750
Os1 Os 0.250 0.250 0.250
```


Name the most stable of them. run i.